[1]
ZnAg2HPd after structural relaxation, computed with PBE-GGA.

POSCAR file:
```
ZnAg2HPd
1.0
-0.3415 2.4665 -3.5272
-2.2911 -3.0994 -1.9456
-3.1155 1.4689 1.3288
Pd H Ag Zn
1 1 2 1
Direct
0.0000 0.0000 0.5000
0.0000 0.0000 0.0000
0.0000 0.5000 0.0000
0.5000 0.0000 0.0000
0.5000 0.5000 0.5000
```

Values from the calculation:
Symmetry: P4/mmm, No. 123

=====

[2]
Zn2AgHPd after structural relaxation, computed with PBE-GGA.

POSCAR file:
```
Zn2AgHPd
1.0
4.3506 0.0000 0.0000
0.0000 4.3506 0.0000
0.0000 0.0000 3.4597
Ag Zn Pd H
1 2 1 1
Direct
0.5000 0.5000 0.5000
0.5000 0.0000 0.0000
0.0000 0.5000 0.0000
0.0000 0.0000 0.5000
0.0000 0.0000 0.0000
```

Values from the calculation:
Symmetry: P4/mmm, No. 123

=====

| no. | uncorrected energy (eV/atom) | mass density (g/cm³) |
| --- | --- | --- |
| 1 | -3.1402 | 9.38 |
| 2 | -2.8657 | 8.78 |